The following is a PBE calculation of a relaxed structure of Tc2RuPt6, from Alexandria.

Properties
Calculated volume   15.38 Å³/atom
Energy of formation from the pure elements   -31 kJ/mol of formula units
Total DFT energy (no corrections)   -7.397 eV/atom

a = 2.7931 Å, b = 2.7931 Å, c = 20.4827 Å
α = 90.00°, β = 90.00°, γ = 120.00°
Last column: nearest neighbours and their distance in Å.
Space group P-6m2 (No. 187)
Unique sites:
Tc  0.0000  0.0000  0.1706 (multiplicity 2)  6 Pt 2.70, 6 Tc 2.79
Ru  0.6667  0.3333  0.5000 (multiplicity 1)  6 Pt 2.72, 6 Ru 2.79
Pt  0.0000  0.0000  0.3933 (multiplicity 2)  3 Ru 2.72, 9 Pt 2.79-2.89
Pt  0.6667  0.3333  0.0650 (multiplicity 2)  7 Pt 2.66-2.79, 3 Tc 2.70
Pt  0.6667  0.3333  0.2761 (multiplicity 2)  3 Tc 2.70, 9 Pt 2.79-2.89